Material: NbO2
Method: DFT, GGA-PBE
State: relaxed

Unit cell a=2.9212 b=5.0154 c=5.0153 alpha=90.00 beta=90.00 gamma=90.00
Fractional coordinates of all 6 atoms:
1 Nb 0.0000 0.0000 0.0000
2 Nb 0.5000 0.5000 0.5000
3 O 0.0000 0.2877 0.2878
4 O 0.0000 0.7123 0.7122
5 O 0.5000 0.7877 0.2122
6 O 0.5000 0.2123 0.7878

Computed properties:
The value obtained for the total magnetization is 0.000 μB/atom. Its symmetry is P4_2/mnm, No. 136. The calculation puts the final energy at -9.080 eV per atom. The value obtained for the raw formation energy is -2.418 eV per atom.


Material: NbO2
Method: DFT, GGA-PBE
State: relaxed

Unit cell a=7.5682 b=7.5682 c=7.5682 alpha=99.30 beta=99.30 gamma=132.60
Fractional coordinates of all 24 atoms:
1 Nb 0.9079 0.1631 0.7690
2 Nb 0.8610 0.0921 0.2552
3 Nb 0.3890 0.6579 0.2448
4 Nb 0.3941 0.1390 0.2310
5 Nb 0.4131 0.1441 0.7552
6 Nb 0.8559 0.6110 0.2690
7 Nb 0.8369 0.6059 0.7448
8 Nb 0.3421 0.5869 0.7310
9 O 0.2244 0.2513 0.7571
10 O 0.7558 0.2828 0.2571
11 O 0.5167 0.9681 0.7550
12 O 0.4942 0.4672 0.2429
13 O 0.5013 0.2442 0.5269
14 O 0.2383 0.4833 0.4513
15 O 0.0319 0.7870 0.5487
16 O 0.0256 0.4987 0.7429
17 O 0.7172 0.9744 0.4731
18 O 0.7487 0.5058 0.9731
19 O 0.2181 0.9630 0.9513
20 O 0.0370 0.9883 0.2550
21 O 0.5328 0.7756 0.0269
22 O 0.7333 0.7819 0.7450
23 O 0.2130 0.7617 0.2450
24 O 0.0117 0.2667 0.0487

Computed properties:
The value obtained for the total magnetization is 0.000 μB/atom. Its symmetry is I4_1/a, No. 88. The calculation puts the final energy at -9.106 eV per atom. The value obtained for the raw formation energy is -2.444 eV per atom.


Material: NbO
Method: DFT, GGA-PBE
State: relaxed

Unit cell a=2.9542 b=2.9542 c=6.8798 alpha=90.00 beta=90.00 gamma=120.00
Fractional coordinates of all 4 atoms:
1 Nb 0.3333 0.6667 0.6910
2 Nb 0.6667 0.3333 0.1910
3 O 0.3333 0.6667 0.3910
4 O 0.6667 0.3333 0.8910

Computed properties:
The value obtained for the total magnetization is 0.000 μB/atom. Its symmetry is P6_3mc, No. 186. The calculation puts the final energy at -9.088 eV per atom. The value obtained for the raw formation energy is -1.574 eV per atom.


Material: NbO
Method: DFT, GGA-PBE
State: relaxed

Unit cell a=6.9299 b=9.2816 c=6.6570 alpha=90.00 beta=90.00 gamma=90.00
Fractional coordinates of all 32 atoms:
1 Nb 0.0000 0.0000 0.2203
2 Nb 0.0000 0.0000 0.7797
3 Nb 0.2500 0.7500 0.0297
4 Nb 0.2500 0.7500 0.4703
5 Nb 0.0000 0.5000 0.7203
6 Nb 0.0000 0.5000 0.2797
7 Nb 0.2500 0.2500 0.5297
8 Nb 0.2500 0.2500 0.9703
9 Nb 0.5000 0.0000 0.7203
10 Nb 0.5000 0.0000 0.2797
11 Nb 0.7500 0.7500 0.5297
12 Nb 0.7500 0.7500 0.9703
13 Nb 0.5000 0.5000 0.2203
14 Nb 0.5000 0.5000 0.7797
15 Nb 0.7500 0.2500 0.0297
16 Nb 0.7500 0.2500 0.4703
17 O 0.0000 0.3704 0.0000
18 O 0.0000 0.6296 0.0000
19 O 0.2500 0.3796 0.2500
20 O 0.2500 0.1204 0.2500
21 O 0.0000 0.8704 0.5000
22 O 0.0000 0.1296 0.5000
23 O 0.2500 0.8796 0.7500
24 O 0.2500 0.6204 0.7500
25 O 0.5000 0.3704 0.5000
26 O 0.5000 0.6296 0.5000
27 O 0.7500 0.3796 0.7500
28 O 0.7500 0.1204 0.7500
29 O 0.5000 0.8704 0.0000
30 O 0.5000 0.1296 0.0000
31 O 0.7500 0.8796 0.2500
32 O 0.7500 0.6204 0.2500

Computed properties:
The value obtained for the total magnetization is 0.000 μB/atom. Its symmetry is Fddd, No. 70. The calculation puts the final energy at -9.027 eV per atom. The value obtained for the raw formation energy is -1.513 eV per atom.


Material: NbO2
Method: DFT, GGA-PBE
State: relaxed

Unit cell a=3.1142 b=5.5326 c=8.2864 alpha=108.08 beta=90.00 gamma=90.00
Fractional coordinates of all 12 atoms:
1 Nb 0.7500 0.7059 0.3991
2 Nb 0.2500 0.1042 0.1927
3 Nb 0.7500 0.8958 0.8073
4 Nb 0.2500 0.2941 0.6009
5 O 0.7500 0.1787 0.0519
6 O 0.2500 0.8213 0.9481
7 O 0.7500 0.3107 0.4198
8 O 0.2500 0.5085 0.2576
9 O 0.7500 0.8650 0.2132
10 O 0.2500 0.1350 0.7868
11 O 0.7500 0.4914 0.7424
12 O 0.2500 0.6893 0.5802

Computed properties:
The value obtained for the total magnetization is 0.000 μB/atom. Its symmetry is P2_1/m, No. 11. The calculation puts the final energy at -8.890 eV per atom. The value obtained for the raw formation energy is -2.228 eV per atom.


Material: NbO
Method: DFT, GGA-PBE
State: relaxed

Unit cell a=6.4494 b=4.9544 c=6.0793 alpha=90.00 beta=90.00 gamma=90.00
Fractional coordinates of all 16 atoms:
1 Nb 0.6983 0.2980 0.5726
2 Nb 0.1983 0.2020 0.4274
3 Nb 0.3017 0.7980 0.9274
4 Nb 0.8017 0.7020 0.0726
5 Nb 0.4431 0.7138 0.4033
6 Nb 0.9431 0.7862 0.5967
7 Nb 0.5569 0.2138 0.0967
8 Nb 0.0569 0.2862 0.9033
9 O 0.4273 0.0267 0.6369
10 O 0.9273 0.4733 0.3631
11 O 0.5727 0.5267 0.8631
12 O 0.0727 0.9733 0.1369
13 O 0.2844 0.4584 0.1519
14 O 0.7844 0.0416 0.8481
15 O 0.7156 0.9584 0.3481
16 O 0.2156 0.5416 0.6519

Computed properties:
The value obtained for the total magnetization is 0.000 μB/atom. Its symmetry is P2_12_12_1, No. 19. The calculation puts the final energy at -9.191 eV per atom. The value obtained for the raw formation energy is -1.677 eV per atom.


Material: NbO
Method: DFT, GGA-PBE
State: relaxed

Unit cell a=6.6648 b=6.6648 c=6.6648 alpha=90.00 beta=90.00 gamma=90.00
Each line ends with the local moment (μB).
Fractional coordinates of all 16 atoms:
1 Nb 0.3537 0.3537 0.3537  0.28
2 Nb 0.3537 0.6463 0.6463  0.28
3 Nb 0.6463 0.3537 0.6463  0.28
4 Nb 0.6463 0.6463 0.3537  0.28
5 Nb 0.8537 0.8537 0.8537  0.28
6 Nb 0.8537 0.1463 0.1463  0.28
7 Nb 0.1463 0.8537 0.1463  0.28
8 Nb 0.1463 0.1463 0.8537  0.28
9 O 0.1706 0.1706 0.1706  0.02
10 O 0.1706 0.8294 0.8294  0.02
11 O 0.8294 0.1706 0.8294  0.02
12 O 0.8294 0.8294 0.1706  0.02
13 O 0.6706 0.6706 0.6706  0.02
14 O 0.6706 0.3294 0.3294  0.02
15 O 0.3294 0.6706 0.3294  0.02
16 O 0.3294 0.3294 0.6706  0.02

Computed properties:
The value obtained for the total magnetization is 0.179 μB/atom. Its symmetry is I-43m, No. 217. The calculation puts the final energy at -8.518 eV per atom. The value obtained for the raw formation energy is -1.004 eV per atom.


Material: NbO2
Method: DFT, GGA-PBE
State: relaxed

Unit cell a=3.9170 b=6.9697 c=6.9179 alpha=110.32 beta=90.00 gamma=106.32
Fractional coordinates of all 12 atoms:
1 Nb 0.0880 0.1798 0.1579
2 Nb 0.9082 0.8202 0.8421
3 Nb 0.1910 0.3859 0.7665
4 Nb 0.8051 0.6141 0.2335
5 O 0.8593 0.7226 0.5137
6 O 0.1369 0.2774 0.4863
7 O 0.9351 0.8741 0.1660
8 O 0.0611 0.1259 0.8340
9 O 0.2630 0.5297 0.1559
10 O 0.7332 0.4703 0.8441
11 O 0.3602 0.7243 0.8282
12 O 0.6360 0.2757 0.1718

Computed properties:
The value obtained for the total magnetization is 0.000 μB/atom. Its symmetry is C2/m, No. 12. The calculation puts the final energy at -9.082 eV per atom. The value obtained for the raw formation energy is -2.420 eV per atom.


Material: NbO
Method: DFT, GGA-PBE
State: relaxed

Unit cell a=7.8487 b=7.8487 c=3.8102 alpha=90.00 beta=90.00 gamma=90.00
Fractional coordinates of all 16 atoms:
1 Nb 0.7698 0.4388 0.5000
2 Nb 0.2302 0.5612 0.5000
3 Nb 0.5612 0.7698 0.5000
4 Nb 0.4388 0.2302 0.5000
5 Nb 0.9201 0.6832 0.0000
6 Nb 0.0799 0.3167 0.0000
7 Nb 0.3167 0.9201 0.0000
8 Nb 0.6832 0.0799 0.0000
9 O 0.8350 0.7174 0.5000
10 O 0.1650 0.2826 0.5000
11 O 0.2826 0.8350 0.5000
12 O 0.7174 0.1650 0.5000
13 O 0.8199 0.3252 0.0000
14 O 0.1801 0.6748 0.0000
15 O 0.6748 0.8199 0.0000
16 O 0.3252 0.1801 0.0000

Computed properties:
The value obtained for the total magnetization is 0.000 μB/atom. Its symmetry is P4/m, No. 83. The calculation puts the final energy at -8.941 eV per atom. The value obtained for the raw formation energy is -1.427 eV per atom.


Material: NbO
Method: DFT, GGA-PBE
State: relaxed

Unit cell a=8.5753 b=8.5753 c=3.1301 alpha=90.00 beta=90.00 gamma=90.00
Fractional coordinates of all 16 atoms:
1 Nb 0.3942 0.1720 0.0000
2 Nb 0.6058 0.8280 0.0000
3 Nb 0.8280 0.3942 0.0000
4 Nb 0.1720 0.6058 0.0000
5 Nb 0.8942 0.6720 0.5000
6 Nb 0.1058 0.3280 0.5000
7 Nb 0.3280 0.8942 0.5000
8 Nb 0.6720 0.1058 0.5000
9 O 0.3925 0.7223 0.0000
10 O 0.6075 0.2777 0.0000
11 O 0.2777 0.3925 0.0000
12 O 0.7223 0.6075 0.0000
13 O 0.8925 0.2223 0.5000
14 O 0.1075 0.7777 0.5000
15 O 0.7777 0.8925 0.5000
16 O 0.2223 0.1075 0.5000

Computed properties:
The value obtained for the total magnetization is 0.000 μB/atom. Its symmetry is I4/m, No. 87. The calculation puts the final energy at -9.241 eV per atom. The value obtained for the raw formation energy is -1.727 eV per atom.


Material: NbO
Method: DFT, GGA-PBE
State: relaxed

Unit cell a=5.8703 b=5.8703 c=5.8703 alpha=90.00 beta=90.00 gamma=90.00
Fractional coordinates of all 12 atoms:
1 Nb 0.2500 0.5000 0.0000
2 Nb 0.7500 0.5000 0.0000
3 Nb 0.5000 0.0000 0.2500
4 Nb 0.5000 0.0000 0.7500
5 Nb 0.0000 0.2500 0.5000
6 Nb 0.0000 0.7500 0.5000
7 O 0.2500 0.0000 0.5000
8 O 0.7500 0.0000 0.5000
9 O 0.0000 0.5000 0.2500
10 O 0.0000 0.5000 0.7500
11 O 0.5000 0.2500 0.0000
12 O 0.5000 0.7500 0.0000

Computed properties:
The value obtained for the total magnetization is 0.000 μB/atom. Its symmetry is Pm-3n, No. 223. The calculation puts the final energy at -8.570 eV per atom. The value obtained for the raw formation energy is -1.056 eV per atom.


Material: NbO
Method: DFT, GGA-PBE
State: relaxed

Unit cell a=6.3203 b=6.3203 c=2.8550 alpha=90.00 beta=90.00 gamma=90.00
Fractional coordinates of all 8 atoms:
1 Nb 0.3082 0.3082 0.0000
2 Nb 0.8082 0.1918 0.5000
3 Nb 0.1918 0.8082 0.5000
4 Nb 0.6918 0.6918 0.0000
5 O 0.3665 0.6335 0.0000
6 O 0.8665 0.8665 0.5000
7 O 0.1335 0.1335 0.5000
8 O 0.6335 0.3665 0.0000

Computed properties:
The value obtained for the total magnetization is 0.000 μB/atom. Its symmetry is P4_2/mnm, No. 136. The calculation puts the final energy at -8.939 eV per atom. The value obtained for the raw formation energy is -1.425 eV per atom.


Material: NbO
Method: DFT, GGA-PBE
State: relaxed

Unit cell a=8.9639 b=3.5834 c=4.5455 alpha=90.00 beta=90.00 gamma=90.00
Fractional coordinates of all 12 atoms:
1 Nb 0.8347 0.1023 0.2906
2 Nb 0.6653 0.8977 0.7906
3 Nb 0.1653 0.1023 0.2906
4 Nb 0.3347 0.8977 0.7906
5 Nb 0.0000 0.5763 0.7534
6 Nb 0.5000 0.4237 0.2534
7 O 0.7830 0.3970 0.7065
8 O 0.7170 0.6030 0.2065
9 O 0.2170 0.3970 0.7065
10 O 0.2830 0.6030 0.2065
11 O 0.0000 0.6240 0.2544
12 O 0.5000 0.3760 0.7544

Computed properties:
The value obtained for the total magnetization is 0.000 μB/atom. Its symmetry is Pmn2_1, No. 31. The calculation puts the final energy at -9.040 eV per atom. The value obtained for the raw formation energy is -1.526 eV per atom.


Material: NbO
Method: DFT, GGA-PBE
State: relaxed

Unit cell a=3.1898 b=3.1898 c=3.1898 alpha=60.00 beta=60.00 gamma=60.00
Fractional coordinates of all 2 atoms:
1 Nb 0.0000 0.0000 0.0000
2 O 0.5000 0.5000 0.5000

Computed properties:
The value obtained for the total magnetization is 0.000 μB/atom. Its symmetry is Fm-3m, No. 225. The calculation puts the final energy at -8.685 eV per atom. The value obtained for the raw formation energy is -1.171 eV per atom.


Material: Nb4O5
Method: DFT, GGA-PBE
State: relaxed

Unit cell a=6.7383 b=6.7383 c=4.8554 alpha=90.00 beta=90.00 gamma=90.00
Fractional coordinates of all 18 atoms:
1 Nb 0.2962 0.0000 0.2965
2 Nb 0.5000 0.2038 0.7965
3 Nb 0.7962 0.5000 0.2035
4 Nb 0.5000 0.7962 0.7965
5 Nb 0.2038 0.5000 0.2035
6 Nb 0.0000 0.7038 0.7035
7 Nb 0.7038 0.0000 0.2965
8 Nb 0.0000 0.2962 0.7035
9 O 0.2864 0.2864 0.5000
10 O 0.2864 0.7136 0.5000
11 O 0.0000 0.0000 0.5000
12 O 0.7136 0.2864 0.5000
13 O 0.7864 0.7864 0.0000
14 O 0.7136 0.7136 0.5000
15 O 0.2136 0.7864 0.0000
16 O 0.7864 0.2136 0.0000
17 O 0.2136 0.2136 0.0000
18 O 0.5000 0.5000 0.0000

Computed properties:
The value obtained for the total magnetization is 0.000 μB/atom. Its symmetry is P4_2/nmc, No. 137. The calculation puts the final energy at -9.323 eV per atom. The value obtained for the raw formation energy is -2.093 eV per atom.


Material: NbO
Method: DFT, GGA-PBE
State: relaxed

Unit cell a=4.2608 b=4.2608 c=4.2608 alpha=90.00 beta=90.00 gamma=90.00
Fractional coordinates of all 6 atoms:
1 Nb 0.5000 0.0000 0.5000
2 Nb 0.5000 0.5000 0.0000
3 Nb 0.0000 0.5000 0.5000
4 O 0.0000 0.5000 0.0000
5 O 0.0000 0.0000 0.5000
6 O 0.5000 0.0000 0.0000

Computed properties:
The value obtained for the total magnetization is 0.000 μB/atom. Its symmetry is Pm-3m, No. 221. The calculation puts the final energy at -9.463 eV per atom. The value obtained for the raw formation energy is -1.949 eV per atom.


Material: Nb2O3
Method: DFT, GGA-PBE
State: relaxed

Unit cell a=6.0521 b=6.0521 c=7.5608 alpha=68.31 beta=68.31 gamma=27.75
Fractional coordinates of all 10 atoms:
1 Nb 0.1633 0.1633 0.1532
2 Nb 0.8367 0.8367 0.8468
3 Nb 0.3388 0.3388 0.3606
4 Nb 0.6612 0.6612 0.6394
5 O 0.1365 0.1365 0.4481
6 O 0.8635 0.8635 0.5519
7 O 0.1911 0.1911 0.8448
8 O 0.8089 0.8089 0.1552
9 O 0.4724 0.4724 0.7951
10 O 0.5276 0.5276 0.2049

Computed properties:
The value obtained for the total magnetization is 0.000 μB/atom. Its symmetry is C2/m, No. 12. The calculation puts the final energy at -9.171 eV per atom. The value obtained for the raw formation energy is -2.168 eV per atom.


Material: NbO2
Method: DFT, GGA-PBE
State: relaxed

Unit cell a=3.1064 b=7.7132 c=7.5866 alpha=87.92 beta=78.19 gamma=78.37
Each line ends with the local moment (μB).
Fractional coordinates of all 12 atoms:
1 Nb 0.6383 0.5274 0.1960  0.34
2 Nb 0.1906 0.1488 0.4704  0.03
3 Nb 0.8094 0.8512 0.5296  0.03
4 Nb 0.3617 0.4726 0.8040  0.34
5 O 0.8370 0.6220 0.7040  0.00
6 O 0.4549 0.7049 0.3855  -0.01
7 O 0.5451 0.2951 0.6145  -0.01
8 O 0.1630 0.3780 0.2960  0.00
9 O 0.1586 0.6334 0.0490  0.01
10 O 0.8122 0.0532 0.3230  0.00
11 O 0.8414 0.3666 0.9510  0.01
12 O 0.1878 0.9468 0.6770  0.00

Computed properties:
The value obtained for the total magnetization is 0.068 μB/atom. Its symmetry is C2/m, No. 12. The calculation puts the final energy at -8.992 eV per atom. The value obtained for the raw formation energy is -2.330 eV per atom.